# PBE-GGA Ce6OsRu3, relaxed
# Spin magnetization ... 3.9 μB/cell
# E_tot ... -7.683 eV per atom
data_Ce6OsRu3
_chemical_formula_sum 'Ce12 Os2 Ru6'
_space_group_name_H-M_alt 'P 1 21/m 1'
_space_group_IT_number 11
_cell_length_a 11.4561
_cell_length_b 3.9599
_cell_length_c 11.5820
_cell_angle_alpha 90.00
_cell_angle_beta 110.54
_cell_angle_gamma 90.00
loop_
_space_group_symop_operation_xyz
'x,y,z'
'-x,-y,-z'
'-x,y+1/2,-z'
'x,-y+1/2,z'
loop_
_atom_site_label
_atom_site_fract_x
_atom_site_fract_y
_atom_site_fract_z
Ce1 0.0374 0.2500 0.3921
Ce2 0.1122 0.2500 0.9458
Ce3 0.2411 0.7500 0.2700
Ce4 0.2801 0.7500 0.7516
Ce5 0.3962 0.2500 0.5527
Ce6 0.4269 0.7500 0.1077
Os1 0.4477 0.2500 0.3073
Ru1 0.0571 0.2500 0.1691
Ru2 0.1969 0.7500 0.5101
Ru3 0.3382 0.2500 0.9198